# 1
Computed, not measured: crystalline Tm2NbZn2Rh5 at its relaxed geometry at the PBE level of DFT.

The structure in POSCAR format:
```
Tm2NbZn2Rh5
1.0
9.7446 0.0000 0.0000
0.0000 9.7446 0.0000
0.0000 0.0000 3.5422
Tm Nb Zn Rh
4 2 4 10
Cartesian
1.6645 3.2078 0.0000 Tm
3.2078 8.0801 0.0000 Tm
6.5368 1.6645 0.0000 Tm
8.0801 6.5368 0.0000 Tm
0.0000 0.0000 0.0000 Nb
4.8723 4.8723 0.0000 Nb
1.2297 6.1020 0.0000 Zn
3.6426 1.2297 0.0000 Zn
6.1020 8.5149 0.0000 Zn
8.5149 3.6426 0.0000 Zn
0.0000 4.8723 1.7711 Rh
0.6597 7.8068 1.7711 Rh
1.9378 0.6597 1.7711 Rh
2.9345 5.5320 1.7711 Rh
4.2126 2.9345 1.7711 Rh
4.8723 0.0000 1.7711 Rh
5.5320 6.8101 1.7711 Rh
6.8101 4.2126 1.7711 Rh
7.8068 9.0849 1.7711 Rh
9.0849 1.9378 1.7711 Rh
```

Its space group is P4/mbm, No. 127.


# 2
Computed, not measured: crystalline Li5HfHg6 at its relaxed geometry at the PBE level of DFT.

The structure in POSCAR format:
```
Li5HfHg6
1.0
2.3904 -7.0772 0.0000
2.3904 7.0772 0.0000
0.0000 0.0000 6.7322
Li Hf Hg
5 1 6
Cartesian
0.0000 0.0000 0.0000 Li
2.3904 2.3943 3.3661 Li
2.3904 2.3126 0.0000 Li
2.3904 -2.3126 0.0000 Li
2.3904 -2.3943 3.3661 Li
0.0000 0.0000 3.3661 Hf
2.3904 4.6957 1.6215 Hg
2.3904 4.6957 5.1107 Hg
2.3904 0.0000 1.6563 Hg
2.3904 0.0000 5.0759 Hg
2.3904 -4.6957 1.6215 Hg
2.3904 -4.6957 5.1107 Hg
```

Its space group is Cmmm, No. 65.


# 3
Computed, not measured: crystalline CdBi2PtO8 at its relaxed geometry at the PBE level of DFT.

The structure in POSCAR format:
```
CdBi2PtO8
1.0
4.8797 0.0000 0.0000
0.0000 6.9192 0.0000
-0.0728 0.0000 4.8908
Cd Bi Pt O
1 2 1 8
Cartesian
0.0000 0.0000 0.0000 Cd
2.4035 1.7464 2.4454 Bi
2.4035 5.1728 2.4454 Bi
0.0000 3.4596 0.0000 Pt
1.0184 1.9067 0.7895 O
1.0184 5.0125 0.7895 O
1.2111 3.4596 3.3287 O
1.3950 0.0000 3.2710 O
3.4119 0.0000 1.6197 O
3.5958 3.4596 1.5621 O
3.7885 1.9067 4.1013 O
3.7885 5.0125 4.1013 O
```

Its space group is P2/m, No. 10. For the uncorrected formation energy, the calculation gives -0.741 eV per atom.


# 4
Computed, not measured: crystalline Ba2VCdGa at its relaxed geometry at the PBE level of DFT.

The structure in POSCAR format:
```
Ba2VCdGa
1.0
6.5109 0.0000 0.0000
0.0000 6.5109 0.0000
0.0000 0.0000 5.0145
Ba V Cd Ga
2 1 1 1
Cartesian
0.0000 3.2554 0.0000 Ba
3.2554 0.0000 0.0000 Ba
0.0000 0.0000 2.5072 V
0.0000 0.0000 0.0000 Cd
3.2554 3.2554 2.5072 Ga
```

Its space group is P4/mmm, No. 123.


# 5
Computed, not measured: crystalline HfInBr6 at its relaxed geometry at the PBE level of DFT.

The structure in POSCAR format:
```
HfInBr6
1.0
3.4669 -6.5169 0.0000
3.4669 6.5169 0.0000
-2.1789 0.0000 6.5733
Hf In Br
1 1 6
Cartesian
0.0000 0.0000 0.0000 Hf
2.3775 0.0000 3.2866 In
1.0868 1.8551 1.5254 Br
-0.0580 0.0000 5.0639 Br
1.0868 -1.8551 1.5254 Br
3.6682 1.8551 5.0478 Br
4.8130 0.0000 1.5094 Br
3.6682 -1.8551 5.0478 Br
```

Its space group is C2/m, No. 12. For the uncorrected formation energy, the calculation gives -1.095 eV per atom.


# 6
Computed, not measured: crystalline BaHSeBr2 at its relaxed geometry at the PBE level of DFT.

The structure in POSCAR format:
```
BaHSeBr2
1.0
6.3307 0.0000 0.0000
0.0000 6.3307 0.0000
0.0000 0.0000 6.8562
Ba H Se Br
1 1 1 2
Cartesian
0.0000 0.0000 0.0000 Ba
3.1653 3.1653 3.4281 H
0.0000 0.0000 3.4281 Se
0.0000 3.1653 0.0000 Br
3.1653 0.0000 0.0000 Br
```

Its space group is P4/mmm, No. 123. Its energy above the most stable polymorph in this dataset is 477.5 meV per atom.


Number 1: mass density 10.6 g/cm³, E -0.4759 Ry/atom. Number 2: mass density 10.3 g/cm³, E -0.1516 Ry/atom. Number 3: mass density 8.6 g/cm³, E -0.3875 Ry/atom. Number 4: mass density 4.0 g/cm³, E -0.1886 Ry/atom. Number 5: mass density 4.3 g/cm³, E -0.2893 Ry/atom. Number 6: mass density 2.3 g/cm³, E -0.1968 Ry/atom.